First-principles (PBEsol) data for KOs2Ru after structural relaxation, as listed in the Alexandria database.

Properties
- DOS(E_F) (states/eV/f.u.) = 5.11
- volume (Å³/atom) = 16.5
- calculated total energy (eV per atom) = -7.72
- total magnetic moment (μB per formula unit) = 0.17
- calculated formation energy (eV per atom) = 1.215

CIF file:
```
data_KOs2Ru
_symmetry_space_group_name_H-M 'P 1'
_symmetry_Int_Tables_number 1
_symmetry_space_group_name_Hall 'P 1'
_cell_length_a 2.664
_cell_length_b 4.805
_cell_length_c 5.839
_cell_angle_alpha 114.30
_cell_angle_beta 103.19
_cell_angle_gamma 90.00
loop_
_atom_site_label
_atom_site_type_symbol
_atom_site_fract_x
_atom_site_fract_y
_atom_site_fract_z
_atom_site_occupancy
Ru1 Ru 0.000 0.500 0.000 1
Os1 Os 0.283 0.283 0.567 1
K1 K 0.500 0.000 0.000 1
Os2 Os 0.717 0.717 0.433 1
```